10
Lattice="7.0155 0.0000 0.0000 0.0000 7.0155 0.0000 0.0000 0.0000 3.1311" Properties=species:S:1:pos:R:3 comment="V2Rh2F GGA+U optimized geometry" e_above_lowest_polymorph_mev_per_atom=0 sg="No. 127" pbc="T T T"
V 1.2208 2.2869 0.0000
V 2.2869 5.7947 0.0000
V 4.7285 1.2208 0.0000
V 5.7947 4.7285 0.0000
Rh 0.9204 4.4282 1.5656
Rh 2.5873 0.9204 1.5656
Rh 4.4282 6.0950 1.5656
Rh 6.0950 2.5873 1.5656
F 0.0000 0.0000 0.0000
F 3.5077 3.5077 0.0000